1.
Computed, not measured: a geometry-optimized RbTaPd2O structure at the PBE level of DFT.

- density (g/cm³) = 7.7
- formation energy without anion corrections (meV per atom) = 1805

Lattice parameters (Å, degrees): 5.143 5.143 4.020 90.00 90.00 90.00
Sites, in units of the cell vectors:
Rb 0.000 0.000 0.000
Ta 0.500 0.500 0.500
Pd 0.000 0.500 0.000
Pd 0.500 0.000 0.000
O 0.000 0.000 0.500

---

2.
Computed, not measured: a geometry-optimized KSbBr2 structure at the PBE level of DFT.

- density (g/cm³) = 4.0
- formation energy without anion corrections (meV per atom) = -165
- relative energy among the computed polymorphs (meV per atom) = 610.9

Lattice parameters (Å, degrees): 5.720 5.720 5.720 60.00 60.00 60.00
Sites, in units of the cell vectors:
K 0.000 0.000 0.000
Sb 0.250 0.250 0.250
Br 0.500 0.500 0.500
Br 0.750 0.750 0.750

---

3.
Computed, not measured: a geometry-optimized MgCu5Au7 structure at the PBE level of DFT.

- density (g/cm³) = 13.4
- energy of formation from the pure elements (eV/atom) = -0.0991

Lattice parameters (Å, degrees): 6.907 6.907 6.907 135.83 98.87 97.38
Sites, in units of the cell vectors:
Mg 0.000 0.000 0.000
Cu 0.503 0.001 0.006
Cu 0.503 0.497 0.502
Cu 0.759 0.259 0.500
Cu 0.995 0.001 0.498
Cu 0.995 0.497 0.994
Au 0.182 0.493 0.689
Au 0.233 0.733 0.500
Au 0.335 0.003 0.331
Au 0.348 0.348 0.000
Au 0.672 0.003 0.669
Au 0.675 0.675 0.000
Au 0.804 0.493 0.311

---

4.
Computed, not measured: a geometry-optimized Sc3SbF structure at the PBE level of DFT.

- density (g/cm³) = 4.9
- formation energy without anion corrections (meV per atom) = -1098
- relative energy among the computed polymorphs (meV per atom) = 0.0

Lattice parameters (Å, degrees): 4.534 4.534 4.534 90.00 90.00 90.00
Sites, in units of the cell vectors:
Sc 0.000 0.000 0.500
Sc 0.000 0.500 0.000
Sc 0.500 0.000 0.000
Sb 0.500 0.500 0.500
F 0.000 0.000 0.000

---

5.
Computed, not measured: a geometry-optimized ZrPa2Sb structure at the PBE level of DFT.

- density (g/cm³) = 11.6
- formation energy without anion corrections (meV per atom) = -305
- relative energy among the computed polymorphs (meV per atom) = 15.0

Lattice parameters (Å, degrees): 4.165 4.229 11.215 90.00 100.74 90.00
Sites, in units of the cell vectors:
Zr 0.194 0.250 0.387
Zr 0.806 0.750 0.613
Pa 0.057 0.750 0.114
Pa 0.436 0.750 0.872
Pa 0.564 0.250 0.128
Pa 0.943 0.250 0.886
Sb 0.326 0.250 0.653
Sb 0.674 0.750 0.347

---

6.
Computed, not measured: a geometry-optimized TiMnAlRh structure at the PBE level of DFT.

- density (g/cm³) = 7.1
- energy of formation from the pure elements (eV/atom) = -0.6414

Lattice parameters (Å, degrees): 3.013 3.013 5.977 90.00 90.00 90.00
Sites, in units of the cell vectors:
Ti 0.000 0.000 0.000
Mn 0.500 0.500 0.233
Al 0.000 0.000 0.474
Rh 0.500 0.500 0.727

---

7.
Computed, not measured: a geometry-optimized Ce6Tl2NO structure at the PBE level of DFT.

- density (g/cm³) = 8.9
- formation energy without anion corrections (meV per atom) = -1028

Lattice parameters (Å, degrees): 6.953 6.953 6.953 60.00 60.00 60.00
Sites, in units of the cell vectors:
Ce 0.248 0.248 0.752
Ce 0.248 0.752 0.248
Ce 0.248 0.752 0.752
Ce 0.752 0.248 0.248
Ce 0.752 0.248 0.752
Ce 0.752 0.752 0.248
Tl 0.250 0.250 0.250
Tl 0.750 0.750 0.750
N 0.000 0.000 0.000
O 0.500 0.500 0.500

---

8.
Computed, not measured: a geometry-optimized Ce2ReTc3 structure at the PBE level of DFT.

- density (g/cm³) = 11.1
- energy of formation from the pure elements (eV/atom) = -0.1009

Lattice parameters (Å, degrees): 5.188 5.188 5.188 67.03 67.03 67.03
Sites, in units of the cell vectors:
Ce 0.125 0.125 0.125
Ce 0.875 0.875 0.875
Re 0.500 0.500 0.500
Tc 0.000 0.500 0.500
Tc 0.500 0.000 0.500
Tc 0.500 0.500 0.000

---

9.
Computed, not measured: a geometry-optimized Re2MoRh structure at the PBE level of DFT.

- density (g/cm³) = 15.9
- energy of formation from the pure elements (eV/atom) = -0.0283
- relative energy among the computed polymorphs (meV per atom) = 9.9

Lattice parameters (Å, degrees): 4.776 4.776 4.776 131.50 131.50 71.02
Sites, in units of the cell vectors:
Re 0.000 0.000 0.000
Re 0.750 0.250 0.500
Mo 0.500 0.500 0.000
Rh 0.250 0.750 0.500

---

10.
Computed, not measured: a geometry-optimized LiTiNb3 structure at the PBE level of DFT.

- density (g/cm³) = 5.2
- energy of formation from the pure elements (eV/atom) = 1.2444
- relative energy among the computed polymorphs (meV per atom) = 217.3

Lattice parameters (Å, degrees): 4.750 4.750 4.750 90.00 90.00 90.00
Sites, in units of the cell vectors:
Li 0.000 0.000 0.000
Ti 0.500 0.500 0.500
Nb 0.000 0.500 0.500
Nb 0.500 0.000 0.500
Nb 0.500 0.500 0.000

---

11.
Computed, not measured: a geometry-optimized Tl2GeBr3 structure at the PBE level of DFT.

- density (g/cm³) = 5.9
- formation energy without anion corrections (meV per atom) = -459

Lattice parameters (Å, degrees): 8.942 8.942 7.598 102.26 102.26 43.46
Sites, in units of the cell vectors:
Tl 0.174 0.189 0.091
Tl 0.189 0.174 0.591
Tl 0.811 0.826 0.409
Tl 0.826 0.811 0.909
Ge 0.487 0.513 0.750
Ge 0.513 0.487 0.250
Br 0.106 0.894 0.750
Br 0.357 0.367 0.431
Br 0.367 0.357 0.931
Br 0.633 0.643 0.069
Br 0.643 0.633 0.569
Br 0.894 0.106 0.250

---

12.
Computed, not measured: a geometry-optimized K14Ac2O9 structure at the PBE level of DFT.

- density (g/cm³) = 3.0
- formation energy without anion corrections (meV per atom) = -1366

Lattice parameters (Å, degrees): 8.057 8.057 11.270 90.00 90.00 120.00
Sites, in units of the cell vectors:
K 0.000 0.000 0.245
K 0.000 0.000 0.755
K 0.067 0.697 0.913
K 0.108 0.372 0.588
K 0.264 0.892 0.588
K 0.303 0.370 0.913
K 0.370 0.067 0.087
K 0.372 0.264 0.412
K 0.628 0.736 0.588
K 0.630 0.933 0.913
K 0.697 0.630 0.087
K 0.736 0.108 0.412
K 0.892 0.628 0.412
K 0.933 0.303 0.087
Ac 0.333 0.667 0.268
Ac 0.667 0.333 0.732
O 0.000 0.000 0.000
O 0.104 0.356 0.343
O 0.252 0.896 0.343
O 0.333 0.667 0.054
O 0.356 0.252 0.657
O 0.644 0.748 0.343
O 0.667 0.333 0.946
O 0.748 0.104 0.657
O 0.896 0.644 0.657

---

13.
Computed, not measured: a geometry-optimized In2HgAu3 structure at the PBE level of DFT.

- density (g/cm³) = 12.0
- energy of formation from the pure elements (eV/atom) = -0.0894

Lattice parameters (Å, degrees): 6.019 6.019 9.288 90.00 90.00 57.28
Sites, in units of the cell vectors:
In 0.163 0.163 0.000
In 0.163 0.163 0.500
In 0.837 0.837 0.000
In 0.837 0.837 0.500
Hg 0.498 0.502 0.750
Hg 0.502 0.498 0.250
Au 0.001 0.500 0.250
Au 0.001 0.999 0.250
Au 0.500 0.001 0.750
Au 0.500 0.999 0.250
Au 0.999 0.001 0.750
Au 0.999 0.500 0.750

---

14.
Computed, not measured: a geometry-optimized Hf6TlTc structure at the PBE level of DFT.

- density (g/cm³) = 13.1
- energy of formation from the pure elements (eV/atom) = 0.2207

Lattice parameters (Å, degrees): 6.203 6.203 5.926 110.63 110.63 107.79
Sites, in units of the cell vectors:
Hf 0.243 0.753 0.756
Hf 0.247 0.757 0.244
Hf 0.249 0.249 0.790
Hf 0.751 0.751 0.210
Hf 0.753 0.243 0.756
Hf 0.757 0.247 0.244
Tl 0.500 0.500 0.500
Tc 0.000 0.000 0.000

---

15.
Computed, not measured: a geometry-optimized Ac2Sn3Ir structure at the PBE level of DFT.

- density (g/cm³) = 9.2
- energy of formation from the pure elements (eV/atom) = -0.6183

Lattice parameters (Å, degrees): 4.574 4.841 8.135 90.00 90.00 90.00
Sites, in units of the cell vectors:
Ac 0.000 0.000 0.000
Ac 0.000 0.500 0.456
Sn 0.500 0.000 0.605
Sn 0.500 0.500 0.151
Sn 0.500 0.500 0.799
Ir 0.500 0.000 0.279

---

16.
Computed, not measured: a geometry-optimized Tb3Pm2Nd6In structure at the PBE level of DFT.

- density (g/cm³) = 7.3
- energy of formation from the pure elements (eV/atom) = -0.0488

Lattice parameters (Å, degrees): 6.238 6.238 11.925 95.03 95.03 120.13
Sites, in units of the cell vectors:
Tb 0.000 0.000 0.000
Tb 0.332 0.668 0.000
Tb 0.668 0.332 0.000
Pm 0.166 0.834 0.500
Pm 0.834 0.166 0.500
Nd 0.091 0.417 0.251
Nd 0.258 0.258 0.751
Nd 0.417 0.091 0.251
Nd 0.583 0.909 0.749
Nd 0.742 0.742 0.249
Nd 0.909 0.583 0.749
In 0.500 0.500 0.500

---

17.
Computed, not measured: a geometry-optimized Rb2Er2F7 structure at the PBE level of DFT.

- density (g/cm³) = 4.9
- formation energy without anion corrections (meV per atom) = -3468

Lattice parameters (Å, degrees): 5.533 5.533 7.029 90.00 90.00 94.89
Sites, in units of the cell vectors:
Rb 0.239 0.239 0.000
Rb 0.761 0.761 0.000
Er 0.227 0.773 0.500
Er 0.773 0.227 0.500
F 0.000 0.000 0.322
F 0.000 0.000 0.678
F 0.000 0.500 0.318
F 0.000 0.500 0.682
F 0.500 0.000 0.318
F 0.500 0.000 0.682
F 0.500 0.500 0.500

---

18.
Computed, not measured: a geometry-optimized Ca2InAu structure at the PBE level of DFT.

- density (g/cm³) = 6.8
- energy of formation from the pure elements (eV/atom) = -0.4549

Lattice parameters (Å, degrees): 5.122 5.122 5.122 60.00 60.00 60.00
Sites, in units of the cell vectors:
Ca 0.000 0.000 0.000
Ca 0.250 0.250 0.250
In 0.750 0.750 0.750
Au 0.500 0.500 0.500

---

19.
Computed, not measured: a geometry-optimized BeNb4As structure at the PBE level of DFT.

- density (g/cm³) = 7.8
- energy of formation from the pure elements (eV/atom) = -0.3330

Lattice parameters (Å, degrees): 6.101 6.101 5.211 90.00 90.00 90.00
Sites, in units of the cell vectors:
Be 0.000 0.000 0.250
Be 0.000 0.000 0.750
Nb 0.148 0.324 0.000
Nb 0.148 0.676 0.500
Nb 0.324 0.148 0.500
Nb 0.324 0.852 0.000
Nb 0.676 0.148 0.000
Nb 0.676 0.852 0.500
Nb 0.852 0.324 0.500
Nb 0.852 0.676 0.000
As 0.500 0.500 0.250
As 0.500 0.500 0.750

---

20.
Computed, not measured: a geometry-optimized CaReN3 structure at the PBE level of DFT.

- density (g/cm³) = 5.8
- formation energy without anion corrections (meV per atom) = -323

Lattice parameters (Å, degrees): 5.320 5.825 5.957 117.47 92.55 105.30
Sites, in units of the cell vectors:
Ca 0.000 0.000 0.000
Ca 0.439 0.695 0.238
Re 0.202 0.298 0.620
Re 0.692 0.417 0.543
N 0.072 0.927 0.556
N 0.091 0.580 0.835
N 0.346 0.338 0.334
N 0.556 0.421 0.843
N 0.787 0.118 0.353
N 0.846 0.753 0.529